Here is Pm5Fe2O12 after structural relaxation from Alexandria. Energies are from PBE+U.

Properties
The calculation puts the calculated volume at 266.2 Å³ per cell. The total energy is -143.10 eV/f.u.

a b c (Å): 6.942 6.942 7.489
angles (deg): 105.52 105.52 50.54
Atoms (fractional coordinates):
Pm 0.000 0.000 0.000
Pm 0.307 0.307 0.664
Pm 0.309 0.309 0.145
Pm 0.691 0.691 0.855
Pm 0.693 0.693 0.336
Fe 0.247 0.753 0.500
Fe 0.753 0.247 0.500
O 0.001 0.001 0.672
O 0.096 0.596 0.922
O 0.101 0.586 0.423
O 0.404 0.904 0.078
O 0.414 0.899 0.577
O 0.499 0.499 0.671
O 0.501 0.501 0.329
O 0.586 0.101 0.423
O 0.596 0.096 0.922
O 0.899 0.414 0.577
O 0.904 0.404 0.078
O 0.999 0.999 0.328